# 1
DyTaTe | PBE-GGA | relaxed

Results
- Calculated density: 8.84 g/cm³
- Total magnetization: 2.8 μB/f.u.
- Total DFT energy (no corrections): -17.1 eV/f.u.

Cell: 5.002 5.002 5.002 Å, 60.00 60.00 60.00°
Atoms (fractional coordinates):
Dy 0.000 0.000 0.000
Te 0.750 0.750 0.750
Ta 0.250 0.250 0.250



# 2
DyTaTl | PBE-GGA | relaxed

Results
- Calculated density: 11.33 g/cm³
- Total magnetization: 0.0 μB/f.u.
- Total DFT energy (no corrections): -16.5 eV/f.u.

Cell: 4.842 4.842 4.842 Å, 60.00 60.00 60.00°
Atoms (fractional coordinates):
Ta 0.750 0.750 0.750
Tl 0.000 0.000 0.000
Dy 0.250 0.250 0.250



# 3
DyTmTa | PBE-GGA | relaxed

Results
- Calculated density: 9.79 g/cm³
- Total magnetization: 1.3 μB/f.u.
- Total DFT energy (no corrections): -17.1 eV/f.u.

Cell: 4.972 4.972 4.972 Å, 60.00 60.00 60.00°
Atoms (fractional coordinates):
Ta 0.750 0.750 0.750
Tm 0.000 0.000 0.000
Dy 0.250 0.250 0.250



# 4
DyUTa | PBE-GGA | relaxed

Results
- Calculated density: 12.16 g/cm³
- Total magnetization: 3.2 μB/f.u.
- Total DFT energy (no corrections): -23.4 eV/f.u.

Cell: 4.824 4.824 4.824 Å, 60.00 60.00 60.00°
Atoms (fractional coordinates):
U 0.000 0.000 0.000
Dy 0.250 0.250 0.250
Ta 0.750 0.750 0.750



# 5
DyYTa | PBE-GGA | relaxed

Results
- Calculated density: 8.02 g/cm³
- Total magnetization: 1.4 μB/f.u.
- Total DFT energy (no corrections): -18.9 eV/f.u.

Cell: 5.022 5.022 5.022 Å, 60.00 60.00 60.00°
Atoms (fractional coordinates):
Ta 0.000 0.000 0.000
Dy 0.500 0.500 0.500
Y 0.250 0.250 0.250



# 6
DyTaZn | PBE-GGA | relaxed

Results
- Calculated density: 10.05 g/cm³
- Total magnetization: 0.0 μB/f.u.
- Total DFT energy (no corrections): -16.0 eV/f.u.

Cell: 4.572 4.572 4.572 Å, 60.00 60.00 60.00°
Atoms (fractional coordinates):
Ta 0.750 0.750 0.750
Zn 0.000 0.000 0.000
Dy 0.250 0.250 0.250



# 7
TbDy2 | PBE-GGA | relaxed

Results
- Calculated density: 3.31 g/cm³
- Total magnetization: 0.0 μB/f.u.
- Total DFT energy (no corrections): -5.9 eV/f.u.

Cell: 8.821 8.821 8.821 Å, 60.00 60.00 60.00°
Atoms (fractional coordinates):
Dy 0.375 0.375 0.875
Dy 0.875 0.375 0.375
Dy 0.375 0.375 0.375
Dy 0.375 0.875 0.375
Tb 0.250 0.250 0.250
Tb 0.500 0.500 0.500



# 8
TbDy2 | PBE-GGA | relaxed

Results
- Calculated density: 8.10 g/cm³
- Total magnetization: 0.4 μB/f.u.
- Total DFT energy (no corrections): -13.0 eV/f.u.

Cell: 6.546 6.546 6.546 Å, 60.00 60.00 60.00°
Atoms (fractional coordinates):
Dy 0.625 0.625 0.125
Dy 0.125 0.625 0.625
Dy 0.625 0.625 0.625
Dy 0.625 0.125 0.625
Tb 0.250 0.250 0.250
Tb 0.000 0.000 0.000